(1)
# Tm5In4Au, relaxed, DFT PBE
data_Tm5In4Au
_chemical_formula_sum 'Tm5 In4 Au1'
_space_group_name_H-M_alt 'P 1'
_space_group_IT_number 1
_space_group_name_Hall 'P 1'
_cell_length_a 3.535
_cell_length_b 3.535
_cell_length_c 19.989
_cell_angle_alpha 90.00
_cell_angle_beta 90.00
_cell_angle_gamma 90.00
loop_
_atom_site_label
_atom_site_fract_x
_atom_site_fract_y
_atom_site_fract_z
Tm1 0.000 0.000 0.000
Tm2 0.000 0.000 0.206
Tm3 0.000 0.000 0.412
Tm4 0.000 0.000 0.588
Tm5 0.000 0.000 0.794
In1 0.500 0.500 0.103
In2 0.500 0.500 0.309
In3 0.500 0.500 0.691
In4 0.500 0.500 0.897
Au1 0.500 0.500 0.500
# - final energy (eV per atom) = -4.18
# - space group = P4/mmm (123)

---

(2)
# Lu2ScCd, relaxed, DFT PBE
data_Lu2ScCd
_chemical_formula_sum 'Lu2 Sc1 Cd1'
_space_group_name_H-M_alt 'P 1'
_space_group_IT_number 1
_space_group_name_Hall 'P 1'
_cell_length_a 5.228
_cell_length_b 5.228
_cell_length_c 5.228
_cell_angle_alpha 60.00
_cell_angle_beta 60.00
_cell_angle_gamma 60.00
loop_
_atom_site_label
_atom_site_fract_x
_atom_site_fract_y
_atom_site_fract_z
Lu1 0.000 0.000 0.000
Lu2 0.250 0.250 0.250
Sc1 0.750 0.750 0.750
Cd1 0.500 0.500 0.500
# - DFT formation energy (eV/atom) = 0.00
# - space group = F-43m (216)

---

(3)
# TmSiPt, relaxed, DFT PBE
data_TmSiPt
_chemical_formula_sum 'Tm1 Si1 Pt1'
_space_group_name_H-M_alt 'P 1'
_space_group_IT_number 1
_space_group_name_Hall 'P 1'
_cell_length_a 4.563
_cell_length_b 4.563
_cell_length_c 4.563
_cell_angle_alpha 60.00
_cell_angle_beta 60.00
_cell_angle_gamma 60.00
loop_
_atom_site_label
_atom_site_fract_x
_atom_site_fract_y
_atom_site_fract_z
Tm1 0.000 0.000 0.000
Si1 0.250 0.250 0.250
Pt1 0.750 0.750 0.750
# - final energy (eV per atom) = -5.53
# - space group = F-43m (216)

---

(4)
# Gd3Al3Ni2Ge, relaxed, DFT PBE
data_Gd3Al3Ni2Ge
_chemical_formula_sum 'Gd3 Al3 Ni2 Ge1'
_space_group_name_H-M_alt 'P 1'
_space_group_IT_number 1
_space_group_name_Hall 'P 1'
_cell_length_a 7.297
_cell_length_b 7.297
_cell_length_c 3.836
_cell_angle_alpha 90.00
_cell_angle_beta 90.00
_cell_angle_gamma 120.00
loop_
_atom_site_label
_atom_site_fract_x
_atom_site_fract_y
_atom_site_fract_z
Gd1 0.000 0.406 0.000
Gd2 0.406 0.000 0.000
Gd3 0.594 0.594 0.000
Al1 0.000 0.736 0.500
Al2 0.264 0.264 0.500
Al3 0.736 0.000 0.500
Ni1 0.333 0.667 0.500
Ni2 0.667 0.333 0.500
Ge1 0.000 0.000 0.000
# - space group = P-62m (189)
# - offset from the most stable computed form (meV per atom) = 0

---

For reference, mass density by record: 9.98, 8.34, 9.69, 6.97 Mg/m³.